1.
This record from Alexandria via LeMat-Bulk describes TaAg2Pt after structural relaxation. The functional is PBE-GGA.

Properties
E above lowest polymorph, meV per atom: 375
DFT formation energy, eV/atom: 0.264
Electronic total energy, Ry per atom: -0.414

Unit cell a=3.5726 b=3.5726 c=5.4458 alpha=90.00 beta=90.00 gamma=90.00
Closest atoms and distances in Å follow each position.
Space group P4/mmm (No. 123)
Inequivalent atoms, fractional coordinates:
Ta 0.0000 0.0000 0.0000 (multiplicity 1)  2 Pt 2.72, 8 Ag 2.88
Ag 0.5000 0.5000 0.2525 (multiplicity 2)  2 Ag 2.70-2.75, 4 Pt 2.86, 4 Ta 2.88
Pt 0.0000 0.0000 0.5000 (multiplicity 1)  2 Ta 2.72, 8 Ag 2.86



2.
This record from Alexandria via LeMat-Bulk describes TaAg2Pt after structural relaxation. The functional is PBE-GGA.

Properties
E above lowest polymorph, meV per atom: 534
DFT formation energy, eV/atom: 0.423
Electronic total energy, Ry per atom: -0.402

Unit cell a=4.8570 b=4.8570 c=2.9298 alpha=90.00 beta=90.00 gamma=90.00
Closest atoms and distances in Å follow each position.
Space group P4/mmm (No. 123)
Inequivalent atoms, fractional coordinates:
Ta 0.0000 0.0000 0.0000 (multiplicity 1)  8 Ag 2.84, 2 Ta 2.93
Ag 0.0000 0.5000 0.5000 (multiplicity 2)  4 Ta 2.84, 4 Pt 2.84, 2 Ag 2.93
Pt 0.5000 0.5000 0.0000 (multiplicity 1)  8 Ag 2.84, 2 Pt 2.93



3.
This record from Alexandria via LeMat-Bulk describes TaAg2Pt after structural relaxation. The functional is PBE-GGA.

Properties
E above lowest polymorph, meV per atom: 226
DFT formation energy, eV/atom: 0.116
Electronic total energy, Ry per atom: -0.425

Unit cell a=2.8533 b=2.8533 c=29.1565 alpha=90.00 beta=90.00 gamma=120.00
Closest atoms and distances in Å follow each position.
Space group R-3m (No. 166, hexagonal axes)
Inequivalent atoms, fractional coordinates:
Ta 0.0000 0.0000 0.0000 (multiplicity 3)  6 Ta 2.85, 6 Ag 2.98
Ag 0.0000 0.0000 0.2483 (multiplicity 6)  6 Ag 2.85, 3 Pt 2.90, 3 Ta 2.98
Pt 0.0000 0.0000 0.5000 (multiplicity 3)  6 Pt 2.85, 6 Ag 2.90



4.
This record from Alexandria via LeMat-Bulk describes TaAg2Pt after structural relaxation. The functional is PBE-GGA.

Properties
E above lowest polymorph, meV per atom: 127
DFT formation energy, eV/atom: 0.016
Electronic total energy, Ry per atom: -0.432

Unit cell a=2.8212 b=5.0402 c=4.8603 alpha=90.00 beta=91.21 gamma=90.00
Closest atoms and distances in Å follow each position.
Space group P2/m (No. 10)
Inequivalent atoms, fractional coordinates:
Ta 0.0000 0.0000 0.0000 (multiplicity 1)  4 Pt 2.78-2.84, 2 Ta 2.82, 4 Ag 2.90
Ag 0.2666 0.5000 0.7511 (multiplicity 2)  6 Ag 2.73-2.88, 2 Pt 2.88, 2 Ta 2.90
Pt 0.5000 0.0000 0.5000 (multiplicity 1)  4 Ta 2.78-2.84, 2 Pt 2.82, 4 Ag 2.88



5.
This record from Alexandria via LeMat-Bulk describes TaAg2Pt after structural relaxation. The functional is PBE-GGA.

Properties
E above lowest polymorph, meV per atom: 73
DFT formation energy, eV/atom: -0.038
Electronic total energy, Ry per atom: -0.436

Unit cell a=9.9046 b=2.8433 c=4.8806 alpha=90.00 beta=98.34 gamma=90.00
Closest atoms and distances in Å follow each position.
Space group C2/m (No. 12)
Inequivalent atoms, fractional coordinates:
Ta 0.0000 0.0000 0.0000 (multiplicity 2)  4 Pt 2.82, 2 Ta 2.84, 6 Ag 2.91-2.96
Ag 0.2500 0.0000 0.7514 (multiplicity 4)  6 Ag 2.81-2.84, 3 Ta 2.91-2.96, 3 Pt 2.92-2.96
Pt 0.0000 0.5000 0.5000 (multiplicity 2)  4 Ta 2.82, 2 Pt 2.84, 6 Ag 2.92-2.96



6.
This record from Alexandria via LeMat-Bulk describes TaZnAgPt after structural relaxation. The functional is PBE-GGA.

Properties
DFT formation energy, eV/atom: -0.142
Electronic total energy, Ry per atom: -0.415

Unit cell a=6.3937 b=6.3937 c=6.3937 alpha=90.00 beta=90.00 gamma=90.00
Closest atoms and distances in Å follow each position.
Space group F-43m (No. 216)
Inequivalent atoms, fractional coordinates:
Ta 0.0000 0.0000 0.0000 (multiplicity 4)  4 Ag 2.77, 4 Pt 2.77
Zn 0.0000 0.0000 0.5000 (multiplicity 4)  4 Pt 2.77, 4 Ag 2.77
Ag 0.2500 0.2500 0.2500 (multiplicity 4)  4 Zn 2.77, 4 Ta 2.77
Pt 0.2500 0.2500 0.7500 (multiplicity 4)  4 Ta 2.77, 4 Zn 2.77



Fermi-level density of states for every record listed, in sequence, given in states/eV per atom: 0.608, 0.858, 0.877, 0.519, 0.412, 0.406.